# Li2Fe3CoO8

Crystalline Li2Fe3CoO8 at its relaxed geometry (PBE with a Hubbard U, Alexandria via LeMat-Bulk).

Unit cell a=10.0149 b=5.7268 c=5.8300 alpha=90.00 beta=122.71 gamma=90.00
Closest atoms and distances in Å follow each position.
Space group C2/m (No. 12)
One atom of each set of equivalent atoms:
Li1 0.2500 0.2500 0.0000 x4  6 O 2.14-2.26
Fe1 0.0000 0.0000 0.5000 x2  6 O 1.95-1.97
Fe2 0.2500 0.2500 0.5000 x4  6 O 1.96-1.98
Co1 0.0000 0.5000 0.5000 x2  6 O 1.88-1.91
O1 0.0157 0.2585 0.2978 x8  1 Co 1.88, 2 Fe 1.95-1.98
O2 0.2269 0.5000 0.7075 x4  1 Co 1.91, 2 Fe 1.97, 2 Li 2.14
O3 0.2337 0.0000 0.7132 x4  3 Fe 1.96-1.97, 2 Li 2.14

As for the crystal system: monoclinic. The calculation puts the relative energy among the computed polymorphs at 170.2 meV per atom.